# PBE TlFe2Hg, relaxed
# calculated density: 12.4 g cm⁻³
# total energy: -17.1 eV for the cell shown
# total magnetization: 5.212 μB per cell
data_TlFe2Hg
_chemical_formula_sum 'Tl1 Fe2 Hg1'
_symmetry_space_group_name_H-M 'P 1'
_symmetry_Int_Tables_number 1
_cell_length_a 4.6045
_cell_length_b 4.6045
_cell_length_c 4.6045
_cell_angle_alpha 60.00
_cell_angle_beta 60.00
_cell_angle_gamma 60.00
loop_
_symmetry_equiv_pos_as_xyz
'x,y,z'
loop_
_atom_site_label
_atom_site_type_symbol
_atom_site_fract_x
_atom_site_fract_y
_atom_site_fract_z
_atom_site_occupancy
Tl1 Tl 0.5000 0.5000 0.5000 1
Hg1 Hg 0.0000 0.0000 0.0000 1
Fe1 Fe 0.2500 0.2500 0.2500 1
Fe2 Fe 0.7500 0.7500 0.7500 1